Record 1
ZnCuAu2 | the Alexandria database | PBE | optimized geometry; mass density = 13.80 g/cm³; electronic total energy = -3.104 eV/atom; energy relative to the elements = -0.123 eV/atom; total magnetic moment = 0.0 Bohr magnetons per cell
1.0
-4.502 1.933 1.298
-2.653 -2.766 3.316
4.645 1.993 -0.366
Zn Cu Au
1 1 2
direct
0.257 0.757 0.500 Zn
0.491 0.491 0.000 Cu
0.745 0.245 0.500 Au
0.007 0.007 0.000 Au

---

Record 2
HoHfTiAl | the Alexandria database | PBE | optimized geometry; mass density = 8.10 g/cm³; electronic total energy = -6.582 eV/atom; energy relative to the elements = -0.039 eV/atom; total magnetic moment = 2.8 Bohr magnetons per cell
1.0
4.949 0.000 0.000
2.475 4.286 0.000
2.475 1.429 4.041
Ho Al Ti Hf
1 1 1 1
direct
0.500 0.500 0.500 Ho
0.750 0.750 0.750 Al
0.250 0.250 0.250 Ti
0.000 0.000 0.000 Hf

---

Record 3
SrLi2ThS4 | the Alexandria database | PBE | optimized geometry; mass density = 4.15 g/cm³; uncorrected formation energy = -1656.1 meV/atom; electronic total energy = -5.336 eV/atom; total magnetic moment = 0.0 Bohr magnetons per cell
1.0
6.853 0.001 0.001
3.427 5.218 0.148
3.427 0.575 5.188
S Li Sr Th
4 2 1 1
direct
0.922 0.539 0.078 S
0.461 0.078 0.539 S
0.078 0.922 0.461 S
0.539 0.461 0.922 S
0.750 0.750 0.750 Li
0.250 0.250 0.250 Li
0.000 0.000 0.000 Sr
0.500 0.500 0.500 Th